(i)
First-principles (PBE) data for TbPm2Al after structural relaxation, as listed in the Alexandria database.

a b c (Å): 5.441 5.441 5.441
angles (deg): 60.00 60.00 60.00
Fractional coordinates of all 4 atoms:
Tb 0.500 0.500 0.500
Al 0.000 0.000 0.000
Pm 0.750 0.750 0.750
Pm 0.250 0.250 0.250

Properties
- Space-group type: Fm-3m, No. 225
- Fermi-level density of states: 1.726 states/eV per atom


(ii)
First-principles (PBE) data for TbPm2Al after structural relaxation, as listed in the Alexandria database.

a b c (Å): 3.562 3.562 9.267
angles (deg): 90.00 90.00 90.00
Fractional coordinates of all 4 atoms:
Tb 0.500 0.500 0.500
Pm 0.000 0.000 0.216
Pm 0.000 0.000 0.784
Al 0.500 0.500 0.000

Properties
- Space-group type: P4/mmm, No. 123
- Fermi-level density of states: 0.943 states/eV per atom


(ii) ends up most stable, edging out the next structure by 100 meV/atom.


(i)
First-principles (PBE) data for Tb2PmAl6 after structural relaxation, as listed in the Alexandria database.

a b c (Å): 3.542 7.950 7.950
angles (deg): 120.00 90.00 90.00
Fractional coordinates of all 9 atoms:
Tb 0.000 0.333 0.667
Tb 0.000 0.667 0.333
Al 0.500 0.665 0.665
Al 0.500 0.665 0.000
Al 0.500 0.335 0.000
Al 0.500 0.335 0.335
Al 0.500 0.000 0.335
Al 0.500 0.000 0.665
Pm 0.000 0.000 0.000

Properties
- Space-group type: P6/mmm, No. 191
- Fermi-level density of states: 0.450 states/eV per atom


(ii)
First-principles (PBE) data for Tb2PmAl6 after structural relaxation, as listed in the Alexandria database.

a b c (Å): 4.415 7.971 7.971
angles (deg): 53.87 73.92 73.92
Fractional coordinates of all 9 atoms:
Al 0.185 0.121 0.509
Al 0.000 0.816 0.184
Al 0.185 0.509 0.121
Al 0.815 0.491 0.879
Al 0.815 0.879 0.491
Al 0.000 0.184 0.816
Tb 0.625 0.875 0.875
Tb 0.375 0.125 0.125
Pm 0.500 0.500 0.500

Properties
- Space-group type: Immm, No. 71
- Fermi-level density of states: 0.577 states/eV per atom


(i) ends up most stable, edging out the next structure by 236 meV/atom.


(i)
First-principles (PBE) data for Tb3Pm2Al3 after structural relaxation, as listed in the Alexandria database.

a b c (Å): 3.726 5.169 11.430
angles (deg): 103.07 99.38 90.00
Fractional coordinates of all 8 atoms:
Al 0.000 0.500 0.000
Al 0.886 0.886 0.772
Al 0.114 0.114 0.228
Tb 0.383 0.383 0.766
Tb 0.500 0.000 0.000
Tb 0.617 0.617 0.234
Pm 0.271 0.771 0.543
Pm 0.729 0.229 0.457

Properties
- Space-group type: Immm, No. 71
- Fermi-level density of states: 0.652 states/eV per atom


(ii)
First-principles (PBE) data for Tb3Pm2Al3 after structural relaxation, as listed in the Alexandria database.

a b c (Å): 4.838 4.848 8.945
angles (deg): 90.00 90.00 90.00
Fractional coordinates of all 8 atoms:
Pm 0.000 0.000 0.268
Pm 0.000 0.000 0.732
Tb 0.500 0.500 0.277
Tb 0.500 0.000 0.000
Tb 0.500 0.500 0.723
Al 0.000 0.500 0.000
Al 0.000 0.500 0.500
Al 0.500 0.000 0.500

Properties
- Space-group type: Pmmm, No. 47
- Fermi-level density of states: 1.002 states/eV per atom


(i) ends up most stable, edging out the next structure by 18 meV/atom.


(i)
First-principles (PBE) data for Tb3PmAl8 after structural relaxation, as listed in the Alexandria database.

a b c (Å): 5.590 5.590 9.722
angles (deg): 73.29 73.29 60.00
Fractional coordinates of all 12 atoms:
Al 0.938 0.438 0.186
Al 0.187 0.187 0.438
Al 0.438 0.438 0.186
Al 0.937 0.937 0.689
Al 0.436 0.937 0.689
Al 0.937 0.436 0.689
Al 0.688 0.688 0.937
Al 0.438 0.938 0.186
Tb 0.000 0.000 0.000
Tb 0.375 0.375 0.874
Tb 0.500 0.500 0.501
Pm 0.875 0.875 0.375

Properties
- Space-group type: R3m, No. 160
- Fermi-level density of states: 0.890 states/eV per atom


(ii)
First-principles (PBE) data for Tb3PmAl8 after structural relaxation, as listed in the Alexandria database.

a b c (Å): 5.586 5.586 9.192
angles (deg): 90.00 90.00 120.00
Fractional coordinates of all 12 atoms:
Al 0.676 0.838 0.248
Al 0.333 0.667 0.499
Al 0.333 0.667 0.001
Al 0.505 0.009 0.752
Al 0.162 0.838 0.248
Al 0.991 0.495 0.752
Al 0.162 0.324 0.248
Al 0.505 0.495 0.752
Tb 0.000 0.000 0.932
Tb 0.667 0.333 0.431
Tb 0.667 0.333 0.067
Pm 0.000 0.000 0.568

Properties
- Space-group type: P3m1, No. 156
- Fermi-level density of states: 0.475 states/eV per atom


(i) ends up most stable, edging out the next structure by 9 meV/atom.


(i)
First-principles (PBE) data for Tb2PmAl after structural relaxation, as listed in the Alexandria database.

a b c (Å): 5.315 6.939 6.939
angles (deg): 119.94 90.00 90.00
Fractional coordinates of all 8 atoms:
Al 0.500 0.667 0.333
Al 0.000 0.330 0.670
Pm 0.500 0.646 0.823
Pm 0.500 0.177 0.354
Tb 0.500 0.177 0.823
Tb 0.000 0.824 0.176
Tb 0.000 0.353 0.175
Tb 0.000 0.825 0.647

Properties
- Space-group type: Amm2, No. 38
- Fermi-level density of states: 0.959 states/eV per atom


(ii)
First-principles (PBE) data for Tb2PmAl after structural relaxation, as listed in the Alexandria database.

a b c (Å): 5.404 5.404 5.404
angles (deg): 60.00 60.00 60.00
Site moments in Bohr magnetons follow the coordinates.
Fractional coordinates of all 4 atoms:
Tb 0.250 0.250 0.250  0.26
Tb 0.750 0.750 0.750  0.26
Al 0.000 0.000 0.000  0.00
Pm 0.500 0.500 0.500  0.29

Properties
- Space-group type: Fm-3m, No. 225
- Fermi-level density of states: 1.567 states/eV per atom


(i) ends up most stable, edging out the next structure by 180 meV/atom.


(i)
First-principles (PBE) data for Tb6PmAl2 after structural relaxation, as listed in the Alexandria database.

a b c (Å): 4.785 4.785 14.278
angles (deg): 99.65 99.65 90.00
Fractional coordinates of all 9 atoms:
Tb 0.646 0.646 0.794
Tb 0.851 0.354 0.206
Tb 0.250 0.750 0.500
Tb 0.149 0.149 0.794
Tb 0.750 0.250 0.500
Tb 0.354 0.851 0.206
Pm 0.500 0.500 0.000
Al 0.185 0.185 0.371
Al 0.815 0.815 0.629

Properties
- Space-group type: I-42m, No. 121
- Fermi-level density of states: 1.185 states/eV per atom


(ii)
First-principles (PBE) data for Tb6PmAl2 after structural relaxation, as listed in the Alexandria database.

a b c (Å): 3.715 6.567 11.597
angles (deg): 75.44 80.78 73.57
Fractional coordinates of all 9 atoms:
Al 0.350 0.089 0.211
Al 0.650 0.911 0.789
Tb 0.311 0.792 0.586
Tb 0.690 0.495 0.125
Tb 0.310 0.505 0.875
Tb 0.689 0.208 0.414
Tb 0.980 0.709 0.330
Tb 0.020 0.291 0.670
Pm 0.000 0.000 0.000

Properties
- Space-group type: C2/m, No. 12
- Fermi-level density of states: 1.147 states/eV per atom


(ii) ends up most stable, edging out the next structure by 645 meV/atom.


(i)
First-principles (PBE) data for Tb2PmAl2 after structural relaxation, as listed in the Alexandria database.

a b c (Å): 3.684 5.218 13.674
angles (deg): 90.00 97.75 90.00
Fractional coordinates of all 10 atoms:
Tb 0.232 0.750 0.466
Tb 0.953 0.250 0.906
Tb 0.768 0.250 0.534
Tb 0.047 0.750 0.094
Al 0.640 0.750 0.282
Al 0.360 0.250 0.718
Al 0.548 0.250 0.095
Al 0.452 0.750 0.905
Pm 0.857 0.750 0.712
Pm 0.143 0.250 0.288

Properties
- Space-group type: P2_1/m, No. 11
- Fermi-level density of states: 0.686 states/eV per atom


(ii)
First-principles (PBE) data for Tb2PmAl2 after structural relaxation, as listed in the Alexandria database.

a b c (Å): 3.719 5.648 13.354
angles (deg): 96.42 90.00 90.00
Fractional coordinates of all 10 atoms:
Tb 0.750 0.740 0.462
Tb 0.750 0.151 0.111
Tb 0.250 0.849 0.889
Tb 0.250 0.260 0.538
Pm 0.750 0.319 0.767
Pm 0.250 0.681 0.233
Al 0.250 0.793 0.658
Al 0.250 0.355 0.961
Al 0.750 0.207 0.342
Al 0.750 0.645 0.039

Properties
- Space-group type: P2_1/m, No. 11
- Fermi-level density of states: 1.047 states/eV per atom


(i) ends up most stable, edging out the next structure by 157 meV/atom.


(i)
First-principles (PBE) data for Tb4PmAl after structural relaxation, as listed in the Alexandria database.

a b c (Å): 3.573 3.573 14.028
angles (deg): 90.00 90.00 90.00
Fractional coordinates of all 6 atoms:
Al 0.500 0.500 0.500
Pm 0.000 0.000 0.000
Tb 0.500 0.500 0.183
Tb 0.500 0.500 0.817
Tb 0.000 0.000 0.634
Tb 0.000 0.000 0.366

Properties
- Space-group type: P4/mmm, No. 123
- Fermi-level density of states: 1.182 states/eV per atom


(ii)
First-principles (PBE) data for Tb4PmAl after structural relaxation, as listed in the Alexandria database.

a b c (Å): 6.257 8.987 8.235
angles (deg): 113.78 100.10 112.02
Fractional coordinates of all 12 atoms:
Tb 0.630 0.082 0.365
Tb 0.039 0.166 0.774
Tb 0.764 0.717 0.635
Tb 0.764 0.392 0.226
Tb 0.370 0.918 0.635
Tb 0.961 0.834 0.226
Tb 0.236 0.283 0.365
Tb 0.236 0.608 0.774
Al 0.751 0.001 0.001
Al 0.249 0.999 0.999
Pm 0.654 0.404 0.809
Pm 0.346 0.596 0.191

Properties
- Space-group type: C2/c, No. 15
- Fermi-level density of states: 1.304 states/eV per atom


(i) ends up most stable, edging out the next structure by 75 meV/atom.